<w>
Below is a relaxed structure of SiSn2H, with properties calculated at the PBE level.

The value obtained for the total magnetization is 0.00 Bohr magnetons per cell.

Cell: 6.6935 6.6935 6.6935 Å, 90.00 90.00 90.00°
Space group Fm-3m (No. 225)
Asymmetric unit:
Si: 0.0000 0.0000 0.0000 [4 per cell]
Sn: 0.2500 0.2500 0.2500 [8 per cell]
H: 0.0000 0.0000 0.5000 [4 per cell]

---

<x>
Below is a relaxed structure of SiSn2H, with properties calculated at the PBE level.

The value obtained for the total magnetization is 0.00 Bohr magnetons per cell.

Cell: 5.7904 5.7904 10.5385 Å, 90.00 90.00 90.00°
Space group I-42d (No. 122)
Asymmetric unit:
Si: 0.0000 0.0000 0.0000 [4 per cell]
Sn: 0.1857 0.2500 0.6250 [8 per cell]
H: 0.0000 0.0000 0.5000 [4 per cell]

---

Which is the most stable structure? <x> is the most stable.